(1)
A geometry-optimized LiCeBiPb structure, computed with PBE-GGA.

Values from the calculation:
Electronic total energy   -4.2276 eV per atom
SG   F-43m
Calculated density   8.42 g cm⁻³
ΔE_f   -0.37 eV per atom

Cell: 7.630 7.630 7.630 Å, 90.00 90.00 90.00°
Fractional positions:
1 Li 0.000 0.000 0.000
2 Li 0.000 0.500 0.500
3 Li 0.500 0.000 0.500
4 Li 0.500 0.500 0.000
5 Ce 0.000 0.000 0.500
6 Ce 0.000 0.500 0.000
7 Ce 0.500 0.000 0.000
8 Ce 0.500 0.500 0.500
9 Bi 0.250 0.250 0.250
10 Bi 0.250 0.750 0.750
11 Bi 0.750 0.250 0.750
12 Bi 0.750 0.750 0.250
13 Pb 0.250 0.250 0.750
14 Pb 0.250 0.750 0.250
15 Pb 0.750 0.250 0.250
16 Pb 0.750 0.750 0.750

(2)
A geometry-optimized KTaMo2Pb structure, computed with PBE-GGA.

Values from the calculation:
Electronic total energy   -5.7965 eV per atom
SG   P4/mmm
Calculated density   6.24 g cm⁻³
ΔE_f   1.87 eV per atom

Cell: 5.200 5.200 6.095 Å, 90.00 90.00 90.00°
Fractional positions:
1 K 0.000 0.000 0.000
2 Ta 0.000 0.000 0.500
3 Mo 0.000 0.500 0.500
4 Mo 0.500 0.000 0.500
5 Pb 0.500 0.500 0.000

Number 1 is which compound? LiCeBiPb

What is the calculated density in the second record? 6.24 g cm⁻³

Which of these has the highest ΔE_f? KTaMo2Pb